i | The following is a PBE calculation of crystalline SiNi3Sb at its relaxed geometry, from Alexandria via LeMat-Bulk.

a b c (Å): 4.2930 4.2930 4.2930
angles (deg): 90.00 90.00 90.00
Space group Pm-3m (No. 221)
Asymmetric unit:
Si  0.0000  0.0000  0.0000 (multiplicity 1)
Ni  0.0000  0.0000  0.5000 (multiplicity 3)
Sb  0.5000  0.5000  0.5000 (multiplicity 1)

Output
Density ... 6.84 g/cm³
Density of states at the Fermi level ... 1.899 states/eV/cell
Magnetization ... 0.0 Bohr magnetons per cell

ii | The following is a PBE calculation of crystalline SiNi3Sb at its relaxed geometry, from Alexandria via LeMat-Bulk.

a b c (Å): 4.6258 4.6258 4.6258
angles (deg): 90.00 90.00 90.00
Space group Pm-3m (No. 221)
Asymmetric unit:
Si  0.0000  0.0000  0.0000 (multiplicity 1)
Ni  0.0000  0.5000  0.5000 (multiplicity 3)
Sb  0.5000  0.5000  0.5000 (multiplicity 1)

Output
Density ... 5.47 g/cm³
Density of states at the Fermi level ... 3.104 states/eV/cell
Magnetization ... 0.0 Bohr magnetons per cell

Result of the stability comparison: ii is the least stable of them.

i | The following is a PBE calculation of crystalline SiNiSbTe2 at its relaxed geometry, from Alexandria via LeMat-Bulk.

a b c (Å): 5.1980 5.1980 5.1642
angles (deg): 90.00 90.00 90.00
Space group P4/mmm (No. 123)
Asymmetric unit:
Si  0.0000  0.0000  0.0000 (multiplicity 1)
Ni  0.5000  0.5000  0.5000 (multiplicity 1)
Sb  0.0000  0.0000  0.5000 (multiplicity 1)
Te  0.0000  0.5000  0.0000 (multiplicity 2)

Output
Density ... 5.52 g/cm³
Density of states at the Fermi level ... 6.010 states/eV/cell
Magnetization ... 0.9 Bohr magnetons per cell

ii | The following is a PBE calculation of crystalline SiNiSbTe2 at its relaxed geometry, from Alexandria via LeMat-Bulk.

a b c (Å): 5.1929 5.1929 4.7432
angles (deg): 90.00 90.00 90.00
Space group P4/mmm (No. 123)
Asymmetric unit:
Si  0.0000  0.0000  0.0000 (multiplicity 1)
Ni  0.5000  0.5000  0.5000 (multiplicity 1)
Sb  0.5000  0.5000  0.0000 (multiplicity 1)
Te  0.0000  0.5000  0.5000 (multiplicity 2)

Output
Density ... 6.02 g/cm³
Density of states at the Fermi level ... 3.697 states/eV/cell
Magnetization ... 0.0 Bohr magnetons per cell

Result of the stability comparison: i is the least stable of them.

i | The following is a PBE calculation of crystalline Ni2SnSb2 at its relaxed geometry, from Alexandria via LeMat-Bulk.

a b c (Å): 4.5545 4.5545 10.0801
angles (deg): 90.00 90.00 90.00
Space group I4/mmm (No. 139)
Asymmetric unit:
Ni  0.0000  0.0000  0.1219 (multiplicity 4)
Sn  0.0000  0.0000  0.5000 (multiplicity 2)
Sb  0.0000  0.5000  0.2500 (multiplicity 4)

Output
Density ... 7.62 g/cm³
Density of states at the Fermi level ... 6.508 states/eV/cell
Magnetization ... 0.0 Bohr magnetons per cell

ii | The following is a PBE calculation of crystalline Ni2SnSb2 at its relaxed geometry, from Alexandria via LeMat-Bulk.

a b c (Å): 4.4114 4.4114 10.8230
angles (deg): 90.00 90.00 90.00
Space group I4/mmm (No. 139)
Asymmetric unit:
Ni  0.0000  0.5000  0.2500 (multiplicity 4)
Sn  0.0000  0.0000  0.0000 (multiplicity 2)
Sb  0.0000  0.0000  0.3637 (multiplicity 4)

Output
Density ... 7.56 g/cm³
Density of states at the Fermi level ... 5.536 states/eV/cell
Magnetization ... 0.0 Bohr magnetons per cell

iii | The following is a PBE calculation of crystalline Ni2SnSb2 at its relaxed geometry, from Alexandria via LeMat-Bulk.

a b c (Å): 7.4629 7.4629 3.4367
angles (deg): 90.00 90.00 90.00
Space group P4/mbm (No. 127)
Asymmetric unit:
Ni  0.1232  0.3768  0.0000 (multiplicity 4)
Sn  0.0000  0.0000  0.0000 (multiplicity 2)
Sb  0.1586  0.6586  0.5000 (multiplicity 4)

Output
Density ... 8.32 g/cm³
Density of states at the Fermi level ... 5.540 states/eV/cell
Magnetization ... 0.0 Bohr magnetons per cell

Result of the stability comparison: i is the least stable of them.